# 1
DFT (PBE-GGA) results for an optimized crystal structure of CaBiH2.

- Fermi-level density of states: 0.517 states/eV/atom
- VASP energy: -3.02 eV per atom
- E above lowest polymorph: 142 meV/atom
- Size of the total moment: 0.0 μB per formula unit

a = 6.3791 Å, b = 6.3791 Å, c = 6.3791 Å
α = 90.00°, β = 90.00°, γ = 90.00°
Closest atoms and distances in Å follow each position.
Fractional coordinates of all 16 atoms:
Ca: 0.0000 0.0000 0.0000  8 H 2.76
Ca: 0.0000 0.5000 0.5000  8 H 2.76
Ca: 0.5000 0.0000 0.5000  8 H 2.76
Ca: 0.5000 0.5000 0.0000  8 H 2.76
Bi: 0.0000 0.0000 0.5000  8 H 2.76
Bi: 0.0000 0.5000 0.0000  8 H 2.76
Bi: 0.5000 0.0000 0.0000  8 H 2.76
Bi: 0.5000 0.5000 0.5000  8 H 2.76
H: 0.2500 0.2500 0.2500  4 Bi 2.76, 4 Ca 2.76
H: 0.2500 0.2500 0.7500  4 Bi 2.76, 4 Ca 2.76
H: 0.2500 0.7500 0.2500  4 Bi 2.76, 4 Ca 2.76
H: 0.2500 0.7500 0.7500  4 Bi 2.76, 4 Ca 2.76
H: 0.7500 0.2500 0.2500  4 Bi 2.76, 4 Ca 2.76
H: 0.7500 0.2500 0.7500  4 Bi 2.76, 4 Ca 2.76
H: 0.7500 0.7500 0.2500  4 Bi 2.76, 4 Ca 2.76
H: 0.7500 0.7500 0.7500  4 Bi 2.76, 4 Ca 2.76

***

# 2
DFT (PBE-GGA) results for an optimized crystal structure of PaFeNiSb.

- Fermi-level density of states: 1.316 states/eV/atom
- VASP energy: -7.15 eV per atom
- E_form (uncorrected): -72 kJ/mol of formula units
- Size of the total moment: 1.8 μB per formula unit

a = 6.5426 Å, b = 6.5426 Å, c = 6.5426 Å
α = 90.00°, β = 90.00°, γ = 90.00°
Closest atoms and distances in Å follow each position.
Fractional coordinates of all 16 atoms:
Pa: 0.0000 0.0000 0.0000  4 Fe 2.83, 4 Ni 2.83
Pa: 0.0000 0.5000 0.5000  4 Fe 2.83, 4 Ni 2.83
Pa: 0.5000 0.0000 0.5000  4 Fe 2.83, 4 Ni 2.83
Pa: 0.5000 0.5000 0.0000  4 Fe 2.83, 4 Ni 2.83
Fe: 0.2500 0.2500 0.7500  4 Pa 2.83, 4 Sb 2.83
Fe: 0.2500 0.7500 0.2500  4 Pa 2.83, 4 Sb 2.83
Fe: 0.7500 0.2500 0.2500  4 Pa 2.83, 4 Sb 2.83
Fe: 0.7500 0.7500 0.7500  4 Pa 2.83, 4 Sb 2.83
Ni: 0.2500 0.2500 0.2500  4 Pa 2.83, 4 Sb 2.83
Ni: 0.2500 0.7500 0.7500  4 Pa 2.83, 4 Sb 2.83
Ni: 0.7500 0.2500 0.7500  4 Pa 2.83, 4 Sb 2.83
Ni: 0.7500 0.7500 0.2500  4 Pa 2.83, 4 Sb 2.83
Sb: 0.0000 0.0000 0.5000  4 Fe 2.83, 4 Ni 2.83
Sb: 0.0000 0.5000 0.0000  4 Fe 2.83, 4 Ni 2.83
Sb: 0.5000 0.0000 0.0000  4 Fe 2.83, 4 Ni 2.83
Sb: 0.5000 0.5000 0.5000  4 Fe 2.83, 4 Ni 2.83

***

# 3
DFT (PBE-GGA) results for an optimized crystal structure of CoAg2Au.

- E_form: 0.35 eV per atom
- Fermi-level density of states: 0.930 states/eV/atom
- VASP energy: -3.67 eV per atom
- E above lowest polymorph: 152 meV/atom
- Size of the total moment: 1.7 μB per formula unit

a = 4.7951 Å, b = 4.7951 Å, c = 2.8963 Å
α = 90.00°, β = 90.00°, γ = 90.00°
Closest atoms and distances in Å follow each position.
Fractional coordinates of all 4 atoms:
Co: 0.0000 0.0000 0.0000  8 Ag 2.80, 2 Co 2.90
Ag: 0.0000 0.5000 0.5000  4 Co 2.80, 4 Au 2.80, 2 Ag 2.90
Ag: 0.5000 0.0000 0.5000  4 Co 2.80, 4 Au 2.80, 2 Ag 2.90
Au: 0.5000 0.5000 0.0000  8 Ag 2.80, 2 Au 2.90

***

# 4
DFT (PBE-GGA) results for an optimized crystal structure of Tb2NdGa6.

- E_form: -0.66 eV per atom
- Fermi-level density of states: 0.636 states/eV/atom
- VASP energy: -4.24 eV per atom
- E above lowest polymorph: 0 meV/atom
- Size of the total moment: 0.0 μB per formula unit

a = 7.3386 Å, b = 7.3386 Å, c = 4.1977 Å
α = 90.00°, β = 90.00°, γ = 120.00°
Closest atoms and distances in Å follow each position.
Fractional coordinates of all 9 atoms:
Tb: 0.3333 0.6667 0.0000  12 Ga 3.22
Tb: 0.6667 0.3333 0.0000  12 Ga 3.22
Nd: 0.0000 0.0000 0.0000  12 Ga 3.23
Ga: 0.0000 0.3345 0.5000  3 Ga 2.43-2.45
Ga: 0.0000 0.6655 0.5000  3 Ga 2.43-2.45
Ga: 0.3345 0.0000 0.5000  3 Ga 2.43-2.45
Ga: 0.3345 0.3345 0.5000  3 Ga 2.43-2.45
Ga: 0.6655 0.0000 0.5000  3 Ga 2.43-2.45
Ga: 0.6655 0.6655 0.5000  3 Ga 2.43-2.45

***

# 5
DFT (PBE-GGA) results for an optimized crystal structure of SrYSb4.

- Fermi-level density of states: 1.043 states/eV/atom
- VASP energy: -4.34 eV per atom
- E_form (uncorrected): -136 kJ/mol of formula units
- Size of the total moment: 0.0 μB per formula unit

a = 6.3763 Å, b = 6.3763 Å, c = 6.3763 Å
α = 60.00°, β = 60.00°, γ = 60.00°
Closest atoms and distances in Å follow each position.
Fractional coordinates of all 6 atoms:
Sr: 0.0000 0.0000 0.0000  12 Sb 3.74, 4 Y 3.90
Y: 0.7500 0.7500 0.7500  12 Sb 3.74, 4 Sr 3.90
Sb: 0.3756 0.3756 0.3756  6 Sb 3.17-3.20
Sb: 0.3756 0.3756 0.8732  6 Sb 3.17-3.20
Sb: 0.3756 0.8732 0.3756  6 Sb 3.17-3.20
Sb: 0.8732 0.3756 0.3756  6 Sb 3.17-3.20

***

# 6
DFT (PBE-GGA) results for an optimized crystal structure of Tb4CeHg5.

- E_form: -0.44 eV per atom
- Fermi-level density of states: 1.656 states/eV/atom
- VASP energy: -3.04 eV per atom
- Size of the total moment: 2.1 μB per formula unit

a = 3.7392 Å, b = 3.7392 Å, c = 18.9516 Å
α = 90.00°, β = 90.00°, γ = 90.00°
Closest atoms and distances in Å follow each position.
Fractional coordinates of all 10 atoms:
Tb: 0.0000 0.0000 0.0985  8 Hg 3.24
Tb: 0.0000 0.0000 0.2958  8 Hg 3.20-3.24
Tb: 0.0000 0.0000 0.7042  8 Hg 3.20-3.24
Tb: 0.0000 0.0000 0.9015  8 Hg 3.24
Ce: 0.0000 0.0000 0.5000  8 Hg 3.35, 4 Ce 3.74
Hg: 0.5000 0.5000 0.0000  8 Tb 3.24
Hg: 0.5000 0.5000 0.1975  8 Tb 3.24
Hg: 0.5000 0.5000 0.3911  4 Tb 3.20, 4 Ce 3.35
Hg: 0.5000 0.5000 0.6089  4 Tb 3.20, 4 Ce 3.35
Hg: 0.5000 0.5000 0.8025  8 Tb 3.24

***

# 7
DFT (PBE-GGA) results for an optimized crystal structure of Cd2CoIr2.

- E_form: 0.24 eV per atom
- Fermi-level density of states: 0.702 states/eV/atom
- VASP energy: -5.09 eV per atom
- Size of the total moment: 2.1 μB per formula unit

a = 6.2951 Å, b = 6.2951 Å, c = 4.4294 Å
α = 90.00°, β = 90.00°, γ = 90.00°
Closest atoms and distances in Å follow each position.
Fractional coordinates of all 10 atoms:
Cd: 0.1740 0.3260 0.0000  6 Ir 2.79-2.96, 1 Cd 3.10
Cd: 0.3260 0.8260 0.0000  6 Ir 2.79-2.96, 1 Cd 3.10
Cd: 0.6740 0.1740 0.0000  6 Ir 2.79-2.96, 1 Cd 3.10
Cd: 0.8260 0.6740 0.0000  6 Ir 2.79-2.96, 1 Cd 3.10
Co: 0.0000 0.0000 0.5000  4 Ir 2.45
Co: 0.5000 0.5000 0.5000  4 Ir 2.45
Ir: 0.1361 0.6361 0.5000  1 Ir 2.42, 2 Co 2.45
Ir: 0.3639 0.1361 0.5000  1 Ir 2.42, 2 Co 2.45
Ir: 0.6361 0.8639 0.5000  1 Ir 2.42, 2 Co 2.45
Ir: 0.8639 0.3639 0.5000  1 Ir 2.42, 2 Co 2.45

***

# 8
DFT (PBE-GGA) results for an optimized crystal structure of Ga2PdPt5.

- E_form: -0.45 eV per atom
- Fermi-level density of states: 0.874 states/eV/atom
- VASP energy: -5.63 eV per atom
- Size of the total moment: 0.0 μB per formula unit

a = 5.5627 Å, b = 11.1243 Å, c = 3.9561 Å
α = 90.00°, β = 90.00°, γ = 90.00°
Closest atoms and distances in Å follow each position.
Fractional coordinates of all 16 atoms:
Ga: 0.2458 0.1238 0.0000  10 Pt 2.77-2.81, 2 Pd 2.77
Ga: 0.2542 0.6238 0.0000  10 Pt 2.77-2.81, 2 Pd 2.77
Ga: 0.7458 0.3762 0.0000  10 Pt 2.77-2.81, 2 Pd 2.77
Ga: 0.7542 0.8762 0.0000  10 Pt 2.77-2.81, 2 Pd 2.77
Pd: 0.0000 0.0000 0.5000  4 Ga 2.77, 8 Pt 2.78-2.80
Pd: 0.5000 0.5000 0.5000  4 Ga 2.77, 8 Pt 2.78-2.80
Pt: 0.0000 0.5000 0.5000  6 Pt 2.77-2.79, 2 Pd 2.78, 4 Ga 2.79
Pt: 0.0069 0.7487 0.5000  7 Pt 2.77-2.80, 4 Ga 2.78-2.81, 1 Pd 2.80
Pt: 0.2487 0.3745 0.0000  4 Ga 2.77-2.80, 6 Pt 2.78-2.80, 2 Pd 2.80
Pt: 0.2513 0.8745 0.0000  4 Ga 2.77-2.80, 6 Pt 2.78-2.80, 2 Pd 2.80
Pt: 0.4931 0.2487 0.5000  7 Pt 2.77-2.80, 4 Ga 2.78-2.81, 1 Pd 2.80
Pt: 0.5000 0.0000 0.5000  6 Pt 2.77-2.79, 2 Pd 2.78, 4 Ga 2.79
Pt: 0.5069 0.7513 0.5000  7 Pt 2.77-2.80, 4 Ga 2.78-2.81, 1 Pd 2.80
Pt: 0.7487 0.1255 0.0000  4 Ga 2.77-2.80, 6 Pt 2.78-2.80, 2 Pd 2.80
Pt: 0.7513 0.6255 0.0000  4 Ga 2.77-2.80, 6 Pt 2.78-2.80, 2 Pd 2.80
Pt: 0.9931 0.2513 0.5000  7 Pt 2.77-2.80, 4 Ga 2.78-2.81, 1 Pd 2.80

***

# 9
DFT (PBE-GGA) results for an optimized crystal structure of CsKSm2I8.

- Fermi-level density of states: 0.000 states/eV/atom
- VASP energy: -3.36 eV per atom
- E_form (uncorrected): -1596 kJ/mol of formula units
- Size of the total moment: 0.0 μB per formula unit

a = 8.4590 Å, b = 8.4590 Å, c = 9.5891 Å
α = 90.00°, β = 90.00°, γ = 120.00°
Closest atoms and distances in Å follow each position.
Fractional coordinates of all 12 atoms:
Cs: 0.0000 0.0000 0.0000  12 I 4.52-4.97, 2 K 4.79
K: 0.0000 0.0000 0.5000  6 I 3.41
Sm: 0.3333 0.6667 0.4119  7 I 3.01-3.29
Sm: 0.6667 0.3333 0.5881  7 I 3.01-3.29
I: 0.0606 0.3893 0.6547  2 Sm 3.19-3.29, 1 K 3.41
I: 0.3287 0.9394 0.6547  2 Sm 3.19-3.29, 1 K 3.41
I: 0.3333 0.6667 0.0975  1 Sm 3.01
I: 0.3893 0.3287 0.3453  2 Sm 3.19-3.29, 1 K 3.41
I: 0.6107 0.6713 0.6547  2 Sm 3.19-3.29, 1 K 3.41
I: 0.6667 0.3333 0.9025  1 Sm 3.01
I: 0.6713 0.0606 0.3453  2 Sm 3.19-3.29, 1 K 3.41
I: 0.9394 0.6107 0.3453  2 Sm 3.19-3.29, 1 K 3.41

***

# 10
DFT (PBE-GGA) results for an optimized crystal structure of ScReSi2.

- Fermi-level density of states: 0.431 states/eV/atom
- VASP energy: -7.26 eV per atom
- E_form (uncorrected): 58 kJ/mol of formula units
- Size of the total moment: 0.0 μB per formula unit

a = 4.3727 Å, b = 4.3727 Å, c = 16.4248 Å
α = 90.00°, β = 90.00°, γ = 90.00°
Closest atoms and distances in Å follow each position.
Fractional coordinates of all 16 atoms:
Sc: 0.0000 0.0000 0.0000  4 Si 2.88, 4 Re 3.09
Sc: 0.0000 0.5000 0.2500  4 Si 2.88, 4 Re 3.09
Sc: 0.5000 0.0000 0.7500  4 Si 2.88, 4 Re 3.09
Sc: 0.5000 0.5000 0.5000  4 Si 2.88, 4 Re 3.09
Re: 0.0000 0.0000 0.5000  4 Si 2.38
Re: 0.0000 0.5000 0.7500  4 Si 2.38
Re: 0.5000 0.0000 0.2500  4 Si 2.38
Re: 0.5000 0.5000 0.0000  4 Si 2.38
Si: 0.1110 0.2500 0.6250  2 Re 2.38, 2 Si 2.39
Si: 0.2500 0.6110 0.8750  2 Re 2.38, 2 Si 2.39
Si: 0.2500 0.8890 0.3750  2 Re 2.38, 2 Si 2.39
Si: 0.3890 0.2500 0.1250  2 Re 2.38, 2 Si 2.39
Si: 0.6110 0.7500 0.1250  2 Re 2.38, 2 Si 2.39
Si: 0.7500 0.1110 0.3750  2 Re 2.38, 2 Si 2.39
Si: 0.7500 0.3890 0.8750  2 Re 2.38, 2 Si 2.39
Si: 0.8890 0.7500 0.6250  2 Re 2.38, 2 Si 2.39

***

# 11
DFT (PBE-GGA) results for an optimized crystal structure of Ta2ReBr.

- Fermi-level density of states: 0.810 states/eV/atom
- VASP energy: -8.17 eV per atom
- E_form (uncorrected): 497 kJ/mol of formula units
- E above lowest polymorph: 1108 meV/atom
- Size of the total moment: 0.0 μB per formula unit

a = 4.9844 Å, b = 4.9844 Å, c = 14.9265 Å
α = 90.00°, β = 90.00°, γ = 90.00°
Closest atoms and distances in Å follow each position.
Fractional coordinates of all 16 atoms:
Ta: 0.2276 0.2500 0.1250  2 Re 2.51, 2 Br 2.62
Ta: 0.2500 0.7276 0.3750  2 Re 2.51, 2 Br 2.62
Ta: 0.2500 0.7724 0.8750  2 Re 2.51, 2 Br 2.62
Ta: 0.2724 0.2500 0.6250  2 Re 2.51, 2 Br 2.62
Ta: 0.7276 0.7500 0.6250  2 Re 2.51, 2 Br 2.62
Ta: 0.7500 0.2276 0.8750  2 Re 2.51, 2 Br 2.62
Ta: 0.7500 0.2724 0.3750  2 Re 2.51, 2 Br 2.62
Ta: 0.7724 0.7500 0.1250  2 Re 2.51, 2 Br 2.62
Re: 0.0000 0.0000 0.0000  4 Ta 2.51
Re: 0.0000 0.5000 0.2500  4 Ta 2.51
Re: 0.5000 0.0000 0.7500  4 Ta 2.51
Re: 0.5000 0.5000 0.5000  4 Ta 2.51
Br: 0.0000 0.0000 0.5000  4 Ta 2.62
Br: 0.0000 0.5000 0.7500  4 Ta 2.62
Br: 0.5000 0.0000 0.2500  4 Ta 2.62
Br: 0.5000 0.5000 0.0000  4 Ta 2.62

***

> VASP energy of number 10 (ScReSi2)?

-7.26 eV per atom

***

> What is the formula in the sixth record?

Tb4CeHg5

***

> Which formula does entry 3 have?

CoAg2Au

***

> Which formula does entry 11 have?

Ta2ReBr